No. 1
DFT (PBE-GGA) results for Re2CF after structural relaxation.

M_tot (μB/cell): 0.0
Raw formation energy (meV/atom): 564
Relative energy among the computed polymorphs (meV per atom): 0

Lattice parameters (Å, degrees): 4.123 4.123 6.972 72.80 72.80 90.00
Positions (direct):
F 0.750 0.250 0.500
Re 0.552 0.125 0.250
C 0.250 0.750 0.500
Re 0.375 0.448 0.750
Re 0.198 0.625 0.250
C 0.500 0.500 0.000
Re 0.875 0.802 0.750
F 0.000 0.000 0.000

No. 2
DFT (PBE-GGA) results for Re2CF after structural relaxation.

M_tot (μB/cell): 0.0
Raw formation energy (meV/atom): 996
Relative energy among the computed polymorphs (meV per atom): 432

Lattice parameters (Å, degrees): 3.938 3.938 3.938 60.00 60.00 60.00
Positions (direct):
Re 0.250 0.250 0.250
Re 0.750 0.750 0.750
C 0.000 0.000 0.000
F 0.500 0.500 0.500

No. 3
DFT (PBE-GGA) results for Re3CF after structural relaxation.

M_tot (μB/cell): 0.0
Raw formation energy (meV/atom): 878
Relative energy among the computed polymorphs (meV per atom): 0

Lattice parameters (Å, degrees): 4.075 4.075 4.075 90.00 90.00 90.00
Positions (direct):
Re 0.000 0.000 0.500
Re 0.000 0.500 0.000
C 0.000 0.000 0.000
Re 0.500 0.000 0.000
F 0.500 0.500 0.500

No. 4
DFT (PBE-GGA) results for ReC2SF after structural relaxation.

M_tot (μB/cell): 2.4
Raw formation energy (meV/atom): 2083

Lattice parameters (Å, degrees): 3.812 3.652 3.812 90.00 90.00 90.00
Each line ends with the local moment (μB).
Positions (direct):
S 0.000 0.000 0.000  0.02
F 0.000 0.500 0.000  0.06
C 0.500 0.000 0.000  -0.13
Re 0.500 0.500 0.500  2.40
C 0.000 0.000 0.500  -0.12